[1]
SrCaCu2O4 | Alexandria via LeMat-Bulk | SCAN | PBEsol geometry; uncorrected formation energy = -15.620 eV per formula unit; symmetry = No. 38; size of the total moment = 0.00 μB/cell; Fermi-level density of states = 0.776 states/eV per cell; energy = -12.860 eV per atom; volume = 13.2 Å³/atom
1.0
3.866 0.000 0.000
0.000 1.717 7.944
0.000 -1.717 7.944
Sr Ca Cu O
1 1 2 4
direct
0.000 0.000 0.000
0.500 0.339 0.339
0.000 0.733 0.733
0.500 0.607 0.607
0.000 0.616 0.616
0.000 0.850 0.850
0.500 0.486 0.486
0.500 0.729 0.729

***

[2]
KYP | Alexandria via LeMat-Bulk | SCAN | PBEsol geometry; E_form = -540 meV per atom; symmetry = No. 216; size of the total moment = 0.01 μB/cell; Fermi-level density of states = 1.120 states/eV per cell; energy = -16.063 eV per atom; volume = 27.0 Å³/atom
1.0
0.000 3.432 3.432
3.432 0.000 3.432
3.432 3.432 0.000
K Y P
1 1 1
direct
0.000 0.000 0.000
0.500 0.500 0.500
0.250 0.250 0.250

***

[3]
ZnClF3 | Alexandria via LeMat-Bulk | SCAN | PBEsol geometry; uncorrected formation energy = -0.744 eV per formula unit; symmetry = No. 221; size of the total moment = 1.43 μB/cell; Fermi-level density of states = 1.204 states/eV per cell; energy = -6.571 eV per atom; volume = 15.5 Å³/atom
1.0
4.267 0.000 0.000
0.000 4.267 0.000
0.000 0.000 4.267
Zn Cl F
1 1 3
direct
0.000 0.000 0.000
0.500 0.500 0.500
0.000 0.500 0.500
0.500 0.000 0.500
0.500 0.500 0.000

***

[4]
KPb | Alexandria via LeMat-Bulk | SCAN | PBEsol geometry; E_form = -404 meV per atom; symmetry = No. 142; size of the total moment = 0.00 μB/cell; energy = -42.459 eV per atom; volume = 37.8 Å³/atom
1.0
-5.686 5.686 9.358
5.686 -5.686 9.358
5.686 5.686 -9.358
K Pb
16 16
direct
0.003 0.253 0.505
0.119 0.750 0.869
0.247 0.497 0.995
0.250 0.119 0.869
0.250 0.619 0.369
0.253 0.247 0.250
0.381 0.250 0.631
0.497 0.003 0.250
0.503 0.997 0.750
0.619 0.750 0.369
0.747 0.753 0.750
0.750 0.381 0.631
0.750 0.881 0.131
0.753 0.503 0.005
0.881 0.250 0.131
0.997 0.747 0.495
0.003 0.695 0.067
0.064 0.997 0.191
0.128 0.936 0.433
0.195 0.503 0.567
0.305 0.872 0.309
0.372 0.805 0.809
0.436 0.628 0.933
0.497 0.564 0.691
0.503 0.436 0.309
0.564 0.372 0.067
0.628 0.195 0.191
0.695 0.128 0.691
0.805 0.497 0.433
0.872 0.064 0.567
0.936 0.003 0.809
0.997 0.305 0.933

***

[5]
MnFeSi2 | Alexandria via LeMat-Bulk | SCAN | PBEsol geometry; uncorrected formation energy = -1.636 eV per formula unit; symmetry = No. 123; size of the total moment = 0.61 μB/cell; Fermi-level density of states = 2.150 states/eV per cell; energy = -14.513 eV per atom; volume = 10.4 Å³/atom
1.0
3.884 0.000 0.000
0.000 3.884 0.000
0.000 0.000 2.745
Mn Fe Si
1 1 2
direct
0.000 0.000 0.000
0.500 0.500 0.000
0.000 0.500 0.500
0.500 0.000 0.500

***

[6]
TiMoO4 | Alexandria via LeMat-Bulk | SCAN | PBEsol geometry; uncorrected formation energy = -15.685 eV per formula unit; symmetry = No. 65; size of the total moment = 1.45 μB/cell; Fermi-level density of states = 2.097 states/eV per cell; energy = -15.254 eV per atom; volume = 10.7 Å³/atom
1.0
3.292 -3.394 0.000
3.292 3.394 0.000
0.000 0.000 2.865
Ti Mo O
1 1 4
direct
0.000 0.000 0.000
0.500 0.500 0.500
0.201 0.201 0.500
0.293 0.707 0.000
0.707 0.293 0.000
0.799 0.799 0.500

***

[7]
Nb2OsWS | Alexandria via LeMat-Bulk | SCAN | PBEsol geometry; uncorrected formation energy = 7.701 eV per formula unit; symmetry = No. 123; size of the total moment = 0.41 μB/cell; Fermi-level density of states = 4.489 states/eV per cell; energy = -41.951 eV per atom; volume = 20.1 Å³/atom
1.0
4.910 0.000 0.000
0.000 4.910 0.000
0.000 0.000 4.168
Nb Os W S
2 1 1 1
direct
0.000 0.500 0.000
0.500 0.000 0.000
0.000 0.000 0.000
0.500 0.500 0.500
0.000 0.000 0.500

***

[8]
MnOsRu2 | Alexandria via LeMat-Bulk | SCAN | PBEsol geometry; E_form = 238 meV per atom; symmetry = No. 225; size of the total moment = 2.89 μB/cell; Fermi-level density of states = 2.890 states/eV per cell; energy = -39.709 eV per atom; volume = 13.6 Å³/atom
1.0
0.000 3.004 3.004
3.004 0.000 3.004
3.004 3.004 0.000
Mn Os Ru
1 1 2
direct
0.000 0.000 0.000
0.500 0.500 0.500
0.250 0.250 0.250
0.750 0.750 0.750

***

[9]
TeMoRh2 | Alexandria via LeMat-Bulk | SCAN | PBEsol geometry; uncorrected formation energy = 0.512 eV per formula unit; symmetry = No. 25; size of the total moment = 0.00 μB/cell; Fermi-level density of states = 2.920 states/eV per cell; energy = -34.792 eV per atom; volume = 15.7 Å³/atom
1.0
2.893 0.000 0.000
0.000 4.462 0.000
0.000 0.000 4.860
Te Mo Rh
1 1 2
direct
0.000 0.000 0.000
0.000 0.500 0.644
0.500 0.000 0.486
0.500 0.500 0.161

***

[10]
YBeCo2 | Alexandria via LeMat-Bulk | SCAN | PBEsol geometry; E_form = -190 meV per atom; symmetry = No. 160; size of the total moment = 2.54 μB/cell; Fermi-level density of states = 1.418 states/eV per cell; energy = -16.892 eV per atom; volume = 14.7 Å³/atom
1.0
1.906 1.100 4.682
-1.906 1.100 4.682
0.000 -2.200 4.682
Y Be Co
1 1 2
direct
0.000 0.000 0.000
0.808 0.808 0.808
0.193 0.193 0.193
0.497 0.497 0.497

***

[11]
BePtCl2 | Alexandria via LeMat-Bulk | SCAN | PBEsol geometry; uncorrected formation energy = 2.717 eV per formula unit; symmetry = No. 225; size of the total moment = 0.00 μB/cell; Fermi-level density of states = 1.709 states/eV per cell; energy = -21.946 eV per atom; volume = 15.2 Å³/atom
1.0
0.000 3.122 3.122
3.122 0.000 3.122
3.122 3.122 0.000
Be Pt Cl
1 1 2
direct
0.000 0.000 0.000
0.500 0.500 0.500
0.250 0.250 0.250
0.750 0.750 0.750

***

[12]
HgIrPb | Alexandria via LeMat-Bulk | SCAN | PBEsol geometry; E_form = 638 meV per atom; symmetry = No. 156; size of the total moment = 0.00 μB/cell; Fermi-level density of states = 1.428 states/eV per cell; energy = -71.045 eV per atom; volume = 20.4 Å³/atom
1.0
4.680 0.000 0.000
-2.340 4.053 0.000
0.000 0.000 3.231
Hg Ir Pb
1 1 1
direct
0.000 0.000 0.000
0.333 0.667 0.293
0.667 0.333 0.509

***

[13]
ZrHgAs2Se | Alexandria via LeMat-Bulk | SCAN | PBEsol geometry; uncorrected formation energy = 0.055 eV per formula unit; symmetry = No. 123; size of the total moment = 0.86 μB/cell; Fermi-level density of states = 3.767 states/eV per cell; energy = -31.854 eV per atom; volume = 27.3 Å³/atom
1.0
5.186 0.000 0.000
0.000 5.186 0.000
0.000 0.000 5.073
Zr Hg As Se
1 1 2 1
direct
0.000 0.000 0.000
0.500 0.500 0.500
0.000 0.500 0.000
0.500 0.000 0.000
0.000 0.000 0.500

***

[14]
ZrTa3 | Alexandria via LeMat-Bulk | SCAN | PBEsol geometry; E_form = 91 meV per atom; symmetry = No. 123; size of the total moment = 0.00 μB/cell; Fermi-level density of states = 5.954 states/eV per cell; energy = -57.521 eV per atom; volume = 18.7 Å³/atom
1.0
3.311 0.000 0.000
0.000 3.311 0.000
0.000 0.000 6.820
Zr Ta
1 3
direct
0.000 0.000 0.000
0.000 0.000 0.500
0.500 0.500 0.272
0.500 0.500 0.728

***

[15]
Cu5Pt | Alexandria via LeMat-Bulk | SCAN | PBEsol geometry; E_form = -109 meV per atom; symmetry = No. 65; size of the total moment = 0.00 μB/cell; Fermi-level density of states = 1.860 states/eV per cell; energy = -24.474 eV per atom; volume = 12.0 Å³/atom
1.0
1.830 -5.382 0.000
1.830 5.382 0.000
0.000 0.000 3.645
Cu Pt
5 1
direct
0.000 0.000 0.000
0.170 0.830 0.500
0.330 0.670 0.000
0.670 0.330 0.000
0.830 0.170 0.500
0.500 0.500 0.500

***

[16]
Sr2TiTlAg | Alexandria via LeMat-Bulk | SCAN | PBEsol geometry; E_form = 526 meV per atom; symmetry = No. 123; size of the total moment = 3.12 μB/cell; Fermi-level density of states = 5.664 states/eV per cell; energy = -32.335 eV per atom; volume = 38.6 Å³/atom
1.0
6.151 0.000 0.000
0.000 6.151 0.000
0.000 0.000 5.102
Sr Ti Tl Ag
2 1 1 1
direct
0.000 0.500 0.000
0.500 0.000 0.000
0.000 0.000 0.500
0.500 0.500 0.000
0.500 0.500 0.500

***

[17]
KAlMo2O8 | Alexandria via LeMat-Bulk | SCAN | PBEsol geometry; uncorrected formation energy = -29.543 eV per formula unit; symmetry = No. 164; size of the total moment = 0.00 μB/cell; Fermi-level density of states = 0.000 states/eV per cell; energy = -13.770 eV per atom; volume = 15.6 Å³/atom
1.0
5.550 0.000 0.000
-2.775 4.807 0.000
0.000 0.000 7.037
K Al Mo O
1 1 2 8
direct
0.000 0.000 0.000
0.000 0.000 0.500
0.333 0.667 0.738
0.667 0.333 0.262
0.158 0.316 0.659
0.158 0.842 0.659
0.316 0.158 0.341
0.333 0.667 0.982
0.667 0.333 0.018
0.684 0.842 0.659
0.842 0.158 0.341
0.842 0.684 0.341

***

[18]
BaSrMo2 | Alexandria via LeMat-Bulk | SCAN | PBEsol geometry; E_form = 777 meV per atom; symmetry = No. 44; size of the total moment = 0.00 μB/cell; Fermi-level density of states = 3.206 states/eV per cell; energy = -32.122 eV per atom; volume = 27.9 Å³/atom
1.0
-1.757 2.885 5.512
1.757 -2.885 5.512
1.757 2.885 -5.512
Ba Sr Mo
1 1 2
direct
0.000 0.000 0.000
0.704 0.204 0.500
0.280 0.780 0.500
0.420 0.420 0.000

***

[19]
K2Bi2Au | Alexandria via LeMat-Bulk | SCAN | PBEsol geometry; E_form = -368 meV per atom; symmetry = No. 127; size of the total moment = 0.00 μB/cell; Fermi-level density of states = 5.667 states/eV per cell; energy = -48.963 eV per atom; volume = 32.5 Å³/atom
1.0
7.492 0.000 0.000
0.000 7.492 0.000
0.000 0.000 5.799
K Bi Au
4 4 2
direct
0.166 0.334 0.000
0.334 0.834 0.000
0.666 0.166 0.000
0.834 0.666 0.000
0.148 0.648 0.500
0.352 0.148 0.500
0.648 0.852 0.500
0.852 0.352 0.500
0.000 0.000 0.500
0.500 0.500 0.500

***

[20]
LaOsCl | Alexandria via LeMat-Bulk | SCAN | PBEsol geometry; uncorrected formation energy = -0.528 eV per formula unit; symmetry = No. 156; size of the total moment = 0.00 μB/cell; Fermi-level density of states = 0.597 states/eV per cell; energy = -41.163 eV per atom; volume = 19.3 Å³/atom
1.0
4.366 0.000 0.000
-2.183 3.781 0.000
0.000 0.000 3.512
La Os Cl
1 1 1
direct
0.000 0.000 0.000
0.667 0.333 0.479
0.333 0.667 0.511

***

[21]
SnS3Br | Alexandria via LeMat-Bulk | SCAN | PBEsol geometry; uncorrected formation energy = 3.758 eV per formula unit; symmetry = No. 221; size of the total moment = 0.00 μB/cell; Fermi-level density of states = 2.909 states/eV per cell; energy = -16.101 eV per atom; volume = 22.5 Å³/atom
1.0
4.829 0.000 0.000
0.000 4.829 0.000
0.000 0.000 4.829
Sn S Br
1 3 1
direct
0.000 0.000 0.000
0.000 0.500 0.500
0.500 0.000 0.500
0.500 0.500 0.000
0.500 0.500 0.500

***

[22]
CaNb2P2O11 | Alexandria via LeMat-Bulk | SCAN | PBEsol geometry; uncorrected formation energy = -45.082 eV per formula unit; symmetry = No. 15; size of the total moment = 0.00 μB/cell; Fermi-level density of states = 0.000 states/eV per cell; energy = -13.147 eV per atom; volume = 13.3 Å³/atom
1.0
7.509 -5.417 0.000
7.509 5.417 0.000
-0.340 0.000 5.243
Ca Nb P O
2 4 4 22
direct
0.106 0.894 0.750
0.894 0.106 0.250
0.254 0.496 0.764
0.496 0.254 0.264
0.504 0.746 0.736
0.746 0.504 0.236
0.020 0.686 0.255
0.314 0.980 0.245
0.686 0.020 0.755
0.980 0.314 0.745
0.015 0.152 0.633
0.094 0.669 0.993
0.126 0.575 0.446
0.128 0.359 0.786
0.152 0.015 0.133
0.331 0.669 0.750
0.331 0.906 0.507
0.359 0.128 0.286
0.362 0.414 0.076
0.414 0.362 0.576
0.425 0.874 0.054
0.575 0.126 0.946
0.586 0.638 0.424
0.638 0.586 0.924
0.641 0.872 0.714
0.669 0.094 0.493
0.669 0.331 0.250
0.848 0.985 0.867
0.872 0.641 0.214
0.874 0.425 0.554
0.906 0.331 0.007
0.985 0.848 0.367